This record from Alexandria describes Li3VOF6 after structural relaxation. The functional is GGA+U.

```
Li3VOF6
1.0
5.076 0.000 0.000
0.000 5.133 0.000
0.000 0.000 17.108
Li V O F
12 4 4 24
direct
0.180 0.520 0.016
0.224 0.948 0.859
0.237 0.503 0.254
0.263 0.497 0.754
0.276 0.052 0.359
0.320 0.480 0.516
0.680 0.980 0.984
0.724 0.552 0.141
0.737 0.997 0.746
0.763 0.003 0.246
0.776 0.448 0.641
0.820 0.020 0.484
0.236 0.974 0.624
0.264 0.026 0.124
0.736 0.526 0.376
0.764 0.474 0.876
0.008 0.363 0.392
0.492 0.637 0.892
0.508 0.137 0.608
0.992 0.863 0.108
0.027 0.246 0.558
0.091 0.291 0.847
0.072 0.229 0.694
0.103 0.370 0.123
0.137 0.113 0.236
0.172 0.836 0.521
0.328 0.164 0.021
0.363 0.887 0.736
0.397 0.630 0.623
0.428 0.771 0.194
0.409 0.709 0.347
0.473 0.754 0.058
0.527 0.254 0.442
0.591 0.209 0.153
0.572 0.271 0.306
0.603 0.130 0.877
0.637 0.387 0.764
0.672 0.664 0.479
0.828 0.336 0.979
0.863 0.613 0.264
0.897 0.870 0.377
0.928 0.729 0.806
0.909 0.791 0.653
0.973 0.746 0.942
```

Calculated values
Spin magnetization in μB per cell: 0.0
E in eV/atom: -5.285